1.
Density functional theory data (PBE) for a relaxed Zn5Pd crystal.

Calculated values
- DFT formation energy: -0.224 eV/atom

abc: 3.785 3.889 6.221
angles: 108.21 90.00 90.00
Sites, in units of the cell vectors:
Zn: 0.500 0.832 0.663
Zn: 0.000 0.667 0.333
Zn: 0.500 0.500 0.000
Zn: 0.000 0.333 0.667
Zn: 0.500 0.168 0.337
Pd: 0.000 0.000 0.000



2.
Density functional theory data (PBE) for a relaxed ZnPd7 crystal.

Calculated values
- DFT formation energy: -0.168 eV/atom

abc: 3.922 3.922 8.354
angles: 103.58 103.58 90.00
Sites, in units of the cell vectors:
Zn: 0.000 0.000 0.000
Pd: 0.878 0.378 0.755
Pd: 0.749 0.749 0.499
Pd: 0.622 0.122 0.245
Pd: 0.500 0.500 0.000
Pd: 0.378 0.878 0.755
Pd: 0.251 0.251 0.501
Pd: 0.122 0.622 0.245



3.
Density functional theory data (PBE) for a relaxed Zn3Pd crystal.

Calculated values
- DFT formation energy: -0.310 eV/atom

abc: 2.849 4.680 5.164
angles: 116.95 106.02 90.00
Sites, in units of the cell vectors:
Zn: 0.254 0.591 0.507
Zn: 0.500 0.493 0.000
Zn: 0.746 0.083 0.493
Pd: 0.000 0.000 0.000



4.
Density functional theory data (PBE) for a relaxed ZnPd2 crystal.

Calculated values
- DFT formation energy: -0.449 eV/atom

abc: 4.196 5.423 7.814
angles: 90.00 90.00 90.00
Sites, in units of the cell vectors:
Zn: 0.750 0.685 0.901
Zn: 0.250 0.315 0.099
Zn: 0.750 0.185 0.599
Zn: 0.250 0.815 0.401
Pd: 0.750 0.671 0.569
Pd: 0.250 0.329 0.431
Pd: 0.750 0.171 0.931
Pd: 0.250 0.829 0.069
Pd: 0.750 0.541 0.224
Pd: 0.250 0.459 0.776
Pd: 0.750 0.041 0.276
Pd: 0.250 0.959 0.724